The following is a DFT calculation (GGA-PBE) of an optimized crystal structure of CuGeRuAu2.

## Properties
Its energy above the most stable polymorph in this dataset is 0.00 eV/f.u. The symmetry is No. 123. Its formation enthalpy at 0 K is 4.93 eV/f.u.

abc: 4.7142 4.7142 4.6365
angles: 90.00 90.00 90.00
With the nearest neighbours (Å) after each atom.
Fractional coordinates of all 5 atoms:
Cu1 0.0000 0.0000 0.0000  2 Ru 2.32, 4 Au 2.36
Ge1 0.5000 0.5000 0.5000  8 Au 3.31, 4 Ru 3.33
Ru1 0.0000 0.0000 0.5000  2 Cu 2.32
Au1 0.0000 0.5000 0.0000  2 Cu 2.36
Au2 0.5000 0.0000 0.0000  2 Cu 2.36